Entry 1:
# Li2CrW (PBE, relaxed)
# spin magnetization = 0.0 μB/f.u.
# D(E_F) = 0.74 states/eV/atom
# E_form = 0.66 eV per atom
data_Li2CrW
_chemical_formula_sum 'Li4 Cr2 W2'
_cell_length_a 2.9345
_cell_length_b 4.6918
_cell_length_c 8.1126
_cell_angle_alpha 90.00
_cell_angle_beta 90.00
_cell_angle_gamma 90.00
_space_group_name_H-M_alt 'I m m 2'
_space_group_IT_number 44
loop_
_space_group_symop_operation_xyz
'x,y,z'
'-x,-y,z'
'-x,y,z'
'x,-y,z'
'x+1/2,y+1/2,z+1/2'
'-x+1/2,-y+1/2,z+1/2'
'-x+1/2,y+1/2,z+1/2'
'x+1/2,-y+1/2,z+1/2'
loop_
_atom_site_label
_atom_site_fract_x
_atom_site_fract_y
_atom_site_fract_z
Li1 0.0000 0.0000 0.0000
Li2 0.0000 0.5000 0.2717
Cr1 0.0000 0.0000 0.5062
W1 0.0000 0.5000 0.7830

Entry 2:
# LiGa3P (PBE, relaxed)
# spin magnetization = 0.0 μB/f.u.
# D(E_F) = 0.77 states/eV/atom
# E_form = 0.47 eV per atom
data_LiGa3P
_chemical_formula_sum 'Li1 Ga3 P1'
_cell_length_a 4.5954
_cell_length_b 4.5954
_cell_length_c 4.5954
_cell_angle_alpha 90.00
_cell_angle_beta 90.00
_cell_angle_gamma 90.00
_space_group_name_H-M_alt 'P m -3 m'
_space_group_IT_number 221
_space_group_name_Hall '-P 4 2 3'
loop_
_atom_site_label
_atom_site_fract_x
_atom_site_fract_y
_atom_site_fract_z
Li1 0.0000 0.0000 0.0000
Ga1 0.0000 0.0000 0.5000
P1 0.5000 0.5000 0.5000

Entry 3:
# Dy3Mg3Cd2 (PBE, relaxed)
# spin magnetization = 0.0 μB/f.u.
# D(E_F) = 1.21 states/eV/atom
# E_form = -0.12 eV per atom
data_Dy3Mg3Cd2
_chemical_formula_sum 'Dy3 Mg3 Cd2'
_cell_length_a 7.9967
_cell_length_b 7.9967
_cell_length_c 3.8968
_cell_angle_alpha 90.00
_cell_angle_beta 90.00
_cell_angle_gamma 120.00
_space_group_name_H-M_alt 'P -6 2 m'
_space_group_IT_number 189
_space_group_name_Hall 'P -6 -2'
loop_
_atom_site_label
_atom_site_fract_x
_atom_site_fract_y
_atom_site_fract_z
Dy1 0.0000 0.5971 0.0000
Mg1 0.0000 0.2326 0.5000
Cd1 0.3333 0.6667 0.5000

Entry 4:
# BaMo3C (PBE, relaxed)
# spin magnetization = 0.0 μB/f.u.
# D(E_F) = 1.77 states/eV/atom
# E_form = 1.02 eV per atom
data_BaMo3C
_chemical_formula_sum 'Ba1 Mo3 C1'
_cell_length_a 4.4181
_cell_length_b 4.4181
_cell_length_c 4.4181
_cell_angle_alpha 90.00
_cell_angle_beta 90.00
_cell_angle_gamma 90.00
_space_group_name_H-M_alt 'P m -3 m'
_space_group_IT_number 221
_space_group_name_Hall '-P 4 2 3'
loop_
_atom_site_label
_atom_site_fract_x
_atom_site_fract_y
_atom_site_fract_z
Ba1 0.0000 0.0000 0.0000
Mo1 0.0000 0.5000 0.5000
C1 0.5000 0.5000 0.5000

no.,mass density (Mg/m³)
1,7.4
2,4.2
3,6.0
4,8.4